FeTe2Se PBE-GGA relaxed; calculated total energy = -4.27 eV per atom; uncorrected formation energy = 0.28 eV/atom
1.0
5.068 0.002 0.004
-1.834 4.691 0.010
1.400 2.514 4.168
Se Te Fe
1 2 1
Direct
0.500 0.500 0.000 Se
0.000 0.000 0.000 Te
0.500 0.000 0.500 Te
0.000 0.500 0.500 Fe

=====

FeTe2Se PBE-GGA relaxed; calculated total energy = -3.97 eV per atom; uncorrected formation energy = 0.59 eV/atom
1.0
5.161 0.000 0.000
0.000 5.161 0.000
0.000 0.000 3.314
Te Fe Se
2 1 1
Direct
0.000 0.000 0.000 Te
0.500 0.500 0.000 Te
0.500 0.000 0.500 Fe
0.000 0.500 0.500 Se